# NaOs3I, optimized geometry, DFT PBE-GGA
# DOS at the Fermi energy: 2.95 states/eV/cell
# ΔE_f (raw): 3245 meV/atom
# M_tot: 0.000 μB per formula unit
data_NaOs3I
_chemical_formula_sum 'Na1 Os3 I1'
_cell_length_a 4.570
_cell_length_b 4.570
_cell_length_c 4.570
_cell_angle_alpha 90.00
_cell_angle_beta 90.00
_cell_angle_gamma 90.00
_symmetry_space_group_name_H-M 'P m -3 m'
_symmetry_Int_Tables_number 221
_symmetry_space_group_name_Hall '-P 4 2 3'
loop_
_atom_site_label
_atom_site_fract_x
_atom_site_fract_y
_atom_site_fract_z
Na1 0.000 0.000 0.000
Os1 0.000 0.000 0.500
I1 0.500 0.500 0.500

# NaOs2I, optimized geometry, DFT PBE-GGA
# DOS at the Fermi energy: 17.28 states/eV/cell
# ΔE_f (raw): 1615 meV/atom
# M_tot: 0.000 μB per formula unit
data_NaOs2I
_chemical_formula_sum 'Na4 Os8 I4'
_cell_length_a 8.201
_cell_length_b 8.201
_cell_length_c 5.039
_cell_angle_alpha 90.00
_cell_angle_beta 90.00
_cell_angle_gamma 90.00
_symmetry_space_group_name_H-M 'I -4 2 d'
_symmetry_Int_Tables_number 122
_symmetry_space_group_name_Hall 'I -4 2bw'
loop_
_atom_site_label
_atom_site_fract_x
_atom_site_fract_y
_atom_site_fract_z
Na1 0.000 0.000 0.000
Os1 0.200 0.250 0.625
I1 0.000 0.000 0.500

# NaOsI2, optimized geometry, DFT PBE-GGA
# DOS at the Fermi energy: 21.20 states/eV/cell
# ΔE_f (raw): 824 meV/atom
# M_tot: 0.000 μB per formula unit
data_NaOsI2
_chemical_formula_sum 'Na4 Os4 I8'
_cell_length_a 7.175
_cell_length_b 7.175
_cell_length_c 7.175
_cell_angle_alpha 90.00
_cell_angle_beta 90.00
_cell_angle_gamma 90.00
_symmetry_space_group_name_H-M 'F m -3 m'
_symmetry_Int_Tables_number 225
_symmetry_space_group_name_Hall '-F 4 2 3'
loop_
_atom_site_label
_atom_site_fract_x
_atom_site_fract_y
_atom_site_fract_z
Na1 0.000 0.000 0.000
Os1 0.000 0.000 0.500
I1 0.250 0.250 0.250

# Na3OsI, optimized geometry, DFT PBE-GGA
# DOS at the Fermi energy: 19.40 states/eV/cell
# ΔE_f (raw): 783 meV/atom
# M_tot: 2.018 μB per formula unit
data_Na3OsI
_chemical_formula_sum 'Na3 Os1 I1'
_cell_length_a 5.723
_cell_length_b 5.723
_cell_length_c 5.723
_cell_angle_alpha 90.00
_cell_angle_beta 90.00
_cell_angle_gamma 90.00
_symmetry_space_group_name_H-M 'P m -3 m'
_symmetry_Int_Tables_number 221
_symmetry_space_group_name_Hall '-P 4 2 3'
loop_
_atom_site_label
_atom_site_fract_x
_atom_site_fract_y
_atom_site_fract_z
Na1 0.000 0.000 0.500
Os1 0.000 0.000 0.000
I1 0.500 0.500 0.500

# Na2OsI, optimized geometry, DFT PBE-GGA
# DOS at the Fermi energy: 28.73 states/eV/cell
# ΔE_f (raw): 918 meV/atom
# M_tot: 3.000 μB per formula unit
data_Na2OsI
_chemical_formula_sum 'Na8 Os4 I4'
_cell_length_a 7.576
_cell_length_b 7.576
_cell_length_c 7.576
_cell_angle_alpha 90.00
_cell_angle_beta 90.00
_cell_angle_gamma 90.00
_symmetry_space_group_name_H-M 'F m -3 m'
_symmetry_Int_Tables_number 225
_symmetry_space_group_name_Hall '-F 4 2 3'
loop_
_atom_site_label
_atom_site_fract_x
_atom_site_fract_y
_atom_site_fract_z
Na1 0.250 0.250 0.250
Os1 0.000 0.000 0.000
I1 0.000 0.000 0.500

# NaOsI2, optimized geometry, DFT PBE-GGA
# DOS at the Fermi energy: 8.60 states/eV/cell
# ΔE_f (raw): 437 meV/atom
# M_tot: 0.000 μB per formula unit
data_NaOsI2
_chemical_formula_sum 'Na4 Os4 I8'
_cell_length_a 6.538
_cell_length_b 6.538
_cell_length_c 13.009
_cell_angle_alpha 90.00
_cell_angle_beta 90.00
_cell_angle_gamma 90.00
_symmetry_space_group_name_H-M 'I -4 2 d'
_symmetry_Int_Tables_number 122
_symmetry_space_group_name_Hall 'I -4 2bw'
loop_
_atom_site_label
_atom_site_fract_x
_atom_site_fract_y
_atom_site_fract_z
Na1 0.000 0.000 0.000
Os1 0.000 0.000 0.500
I1 0.185 0.250 0.625

# Na3OsI, optimized geometry, DFT PBE-GGA
# DOS at the Fermi energy: 24.10 states/eV/cell
# ΔE_f (raw): 974 meV/atom
# M_tot: 2.184 μB per formula unit
data_Na3OsI
_chemical_formula_sum 'Na3 Os1 I1'
_cell_length_a 5.738
_cell_length_b 5.738
_cell_length_c 5.738
_cell_angle_alpha 90.00
_cell_angle_beta 90.00
_cell_angle_gamma 90.00
_symmetry_space_group_name_H-M 'P m -3 m'
_symmetry_Int_Tables_number 221
_symmetry_space_group_name_Hall '-P 4 2 3'
loop_
_atom_site_label
_atom_site_fract_x
_atom_site_fract_y
_atom_site_fract_z
Na1 0.000 0.000 0.500
Os1 0.500 0.500 0.500
I1 0.000 0.000 0.000

# NaOs3I, optimized geometry, DFT PBE-GGA
# DOS at the Fermi energy: 7.99 states/eV/cell
# ΔE_f (raw): 2530 meV/atom
# M_tot: 1.788 μB per formula unit
data_NaOs3I
_chemical_formula_sum 'Na1 Os3 I1'
_cell_length_a 4.865
_cell_length_b 4.865
_cell_length_c 4.865
_cell_angle_alpha 90.00
_cell_angle_beta 90.00
_cell_angle_gamma 90.00
_symmetry_space_group_name_H-M 'P m -3 m'
_symmetry_Int_Tables_number 221
_symmetry_space_group_name_Hall '-P 4 2 3'
loop_
_atom_site_label
_atom_site_fract_x
_atom_site_fract_y
_atom_site_fract_z
Na1 0.000 0.000 0.000
Os1 0.000 0.500 0.500
I1 0.500 0.500 0.500

Repeat the third record exactly.
# NaOsI2, optimized geometry, DFT PBE-GGA
# DOS at the Fermi energy: 21.20 states/eV/cell
# ΔE_f (raw): 824 meV/atom
# M_tot: 0.000 μB per formula unit
data_NaOsI2
_chemical_formula_sum 'Na4 Os4 I8'
_cell_length_a 7.175
_cell_length_b 7.175
_cell_length_c 7.175
_cell_angle_alpha 90.00
_cell_angle_beta 90.00
_cell_angle_gamma 90.00
_symmetry_space_group_name_H-M 'F m -3 m'
_symmetry_Int_Tables_number 225
_symmetry_space_group_name_Hall '-F 4 2 3'
loop_
_atom_site_label
_atom_site_fract_x
_atom_site_fract_y
_atom_site_fract_z
Na1 0.000 0.000 0.000
Os1 0.000 0.000 0.500
I1 0.250 0.250 0.250